# Cr3O8 (PBE with a Hubbard U, optimized geometry)
data_Cr3O8
_chemical_formula_sum 'Cr6 O16'
_space_group_name_H-M_alt 'P n n m'
_space_group_IT_number 58
_space_group_name_Hall '-P 2 2n'
_cell_length_a 7.400
_cell_length_b 8.153
_cell_length_c 5.436
_cell_angle_alpha 90.00
_cell_angle_beta 90.00
_cell_angle_gamma 90.00
loop_
_atom_site_label
_atom_site_type_symbol
_atom_site_fract_x
_atom_site_fract_y
_atom_site_fract_z
Cr1 Cr 0.000 0.000 0.000
Cr2 Cr 0.192 0.185 0.500
O1 O 0.037 0.318 0.500
O2 O 0.104 0.777 0.000
O3 O 0.170 0.062 0.246
# Excess energy over the best structure of this formula in the dataset in eV/atom: 0.000
# E_tot in eV/atom: -6.838